Here is an optimized crystal structure of LiPaZnRu from the Alexandria database. Energies are from GGA-PBE.

Uncorrected energy   -22.3 eV per cell
DFT formation energy   -82.6 meV/atom

Cell and atoms, written as POSCAR:
```
LiPaZnRu
1.0
0.000 3.259 3.259
3.259 0.000 3.259
3.259 3.259 0.000
Li Pa Zn Ru
1 1 1 1
Cartesian
0.000 0.000 0.000
4.888 4.888 4.888
1.629 1.629 1.629
3.259 3.259 3.259
```

Here is an optimized crystal structure of LiZrPaRu from the Alexandria database. Energies are from GGA-PBE.

Uncorrected energy   -29.4 eV per cell
DFT formation energy   -48.5 meV/atom

Cell and atoms, written as POSCAR:
```
LiZrPaRu
1.0
0.000 3.378 3.378
3.378 0.000 3.378
3.378 3.378 0.000
Li Zr Pa Ru
1 1 1 1
Cartesian
0.000 0.000 0.000
5.066 5.066 5.066
1.689 1.689 1.689
3.378 3.378 3.378
```

Here is an optimized crystal structure of Li4PaS4 from the Alexandria database. Energies are from GGA-PBE.

Uncorrected energy   -46.4 eV per cell
Offset from the most stable computed form   0.0 kJ/mol of formula units
ΔE_f (raw)   -1.4208 eV/atom

Cell and atoms, written as POSCAR:
```
Li4PaS4
1.0
6.336 -1.932 0.000
6.336 1.932 0.000
-5.374 0.000 7.691
Li Pa S
4 1 4
Cartesian
-0.141 0.000 2.906
2.761 0.000 1.395
4.537 0.000 6.295
7.439 0.000 4.784
6.336 0.000 0.000
-3.672 0.000 6.737
-0.332 0.000 5.341
7.629 0.000 2.350
10.969 0.000 0.953
```